This record from Alexandria via LeMat-Bulk describes a relaxed structure of NaErCoCl6. The functional is PBE.

Output
- total moment (μB/cell) = 6.000
- ΔE_f (raw) (meV/atom) = -1583
- SG = P-31c
- ρ (g cm⁻³) = 3.294

```
data_NaErCoCl6
_cell_length_a 6.542
_cell_length_b 6.542
_cell_length_c 12.562
_cell_angle_alpha 90.00
_cell_angle_beta 90.00
_cell_angle_gamma 120.00
_space_group_name_H-M_alt 'P 1'
_space_group_IT_number 1
loop_
_space_group_symop_operation_xyz
'x,y,z'
loop_
_atom_site_label
_atom_site_type_symbol
_atom_site_fract_x
_atom_site_fract_y
_atom_site_fract_z
Na1 Na 0.000 0.000 0.500
Cl1 Cl 0.347 0.366 0.863
Er1 Er 0.667 0.333 0.750
Cl2 Cl 0.366 0.347 0.363
Cl3 Cl 0.981 0.634 0.363
Er2 Er 0.333 0.667 0.250
Co1 Co 0.667 0.333 0.250
Cl4 Cl 0.347 0.981 0.637
Cl5 Cl 0.981 0.347 0.137
Cl6 Cl 0.634 0.981 0.863
Cl7 Cl 0.019 0.653 0.863
Cl8 Cl 0.019 0.366 0.637
Co2 Co 0.333 0.667 0.750
Cl9 Cl 0.366 0.019 0.137
Cl10 Cl 0.653 0.634 0.137
Cl11 Cl 0.634 0.653 0.637
Na2 Na 0.000 0.000 0.000
Cl12 Cl 0.653 0.019 0.363
```